TeAsRh2 (SCAN, PBEsol geometry); symmetry = No. 44; D(E_F) = 2.7 states/eV/f.u.; calculated density = 10.05 g cm⁻³; total energy = -31.295 eV/atom
1.0
-1.630 2.202 4.699
1.630 -2.202 4.699
1.630 2.202 -4.699
Te As Rh
1 1 2
Direct
0.000 0.000 0.000
0.272 0.772 0.500
0.476 0.476 0.000
0.769 0.269 0.500

TeAsRh2 (SCAN, PBEsol geometry); symmetry = No. 123; D(E_F) = 3.0 states/eV/f.u.; calculated density = 10.36 g cm⁻³; total energy = -31.298 eV/atom
1.0
4.484 0.000 0.000
0.000 4.484 0.000
0.000 0.000 3.254
Te As Rh
1 1 2
Direct
0.000 0.000 0.000
0.500 0.500 0.000
0.000 0.500 0.500
0.500 0.000 0.500

TeAsRh2 (SCAN, PBEsol geometry); symmetry = No. 8; D(E_F) = 1.9 states/eV/f.u.; calculated density = 9.28 g cm⁻³; total energy = -31.567 eV/atom
1.0
4.031 -1.710 0.000
4.031 1.710 0.000
-0.847 0.000 5.298
Te As Rh
1 1 2
Direct
0.000 0.000 0.000
0.209 0.209 0.551
0.503 0.503 0.594
0.732 0.732 0.239

TeAsRh2 (SCAN, PBEsol geometry); symmetry = No. 99; D(E_F) = 0.9 states/eV/f.u.; calculated density = 8.02 g cm⁻³; total energy = -31.727 eV/atom
1.0
3.943 0.000 0.000
0.000 3.943 0.000
0.000 0.000 5.436
Te As Rh
1 1 2
Direct
0.000 0.000 0.000
0.500 0.500 0.443
0.000 0.500 0.696
0.500 0.000 0.696

TeAsRh2 (SCAN, PBEsol geometry); symmetry = No. 160; D(E_F) = 2.0 states/eV/f.u.; calculated density = 8.76 g cm⁻³; total energy = -31.421 eV/atom
1.0
1.753 1.012 7.273
-1.753 1.012 7.273
0.000 -2.024 7.273
Te As Rh
1 1 2
Direct
0.000 0.000 0.000
0.786 0.786 0.786
0.266 0.266 0.266
0.506 0.506 0.506

TeAsRh (SCAN, PBEsol geometry); symmetry = No. 198; calculated density = 8.73 g cm⁻³; total energy = -31.018 eV/atom
1.0
6.149 0.000 0.000
0.000 6.149 0.000
0.000 0.000 6.149
Te As Rh
4 4 4
Direct
0.124 0.124 0.124
0.376 0.876 0.624
0.624 0.376 0.876
0.876 0.624 0.376
0.123 0.377 0.623
0.377 0.623 0.123
0.623 0.123 0.377
0.877 0.877 0.877
0.011 0.511 0.989
0.489 0.489 0.489
0.511 0.989 0.011
0.989 0.011 0.511

TiAsRh (SCAN, PBEsol geometry); energy of formation from the pure elements = -23.9 kcal/mol of atoms; symmetry = No. 62; D(E_F) = 0.7 states/eV/f.u.; calculated density = 8.53 g cm⁻³; total energy = -24.366 eV/atom
1.0
6.295 0.000 0.000
0.000 3.800 0.000
0.000 0.000 7.351
Ti As Rh
4 4 4
Direct
0.032 0.250 0.182
0.468 0.750 0.682
0.532 0.250 0.318
0.968 0.750 0.818
0.249 0.250 0.878
0.251 0.750 0.378
0.749 0.250 0.622
0.751 0.750 0.122
0.143 0.250 0.563
0.357 0.750 0.063
0.643 0.250 0.937
0.857 0.750 0.437

TlAs2Rh (SCAN, PBEsol geometry); energy of formation from the pure elements = -4.2 kcal/mol of atoms; symmetry = No. 10; D(E_F) = 1.8 states/eV/f.u.; calculated density = 9.06 g cm⁻³; total energy = -36.809 eV/atom
1.0
4.632 0.000 0.000
0.000 3.997 0.000
-1.961 0.000 4.526
Tl As Rh
1 2 1
Direct
0.000 0.000 0.000
0.295 0.500 0.651
0.705 0.500 0.349
0.500 0.000 0.500

Tl2AsRh (SCAN, PBEsol geometry); energy of formation from the pure elements = -2.6 kcal/mol of atoms; symmetry = No. 8; D(E_F) = 1.9 states/eV/f.u.; calculated density = 10.55 g cm⁻³; total energy = -49.784 eV/atom
1.0
4.129 -1.665 0.000
4.129 1.665 0.000
-2.228 0.000 6.715
Tl As Rh
2 1 1
Direct
0.000 0.000 0.000
0.182 0.182 0.675
0.385 0.385 0.337
0.683 0.683 0.338

TlAs2Rh (SCAN, PBEsol geometry); energy of formation from the pure elements = 7.5 kcal/mol of atoms; symmetry = No. 65; D(E_F) = 2.0 states/eV/f.u.; calculated density = 10.25 g cm⁻³; total energy = -36.305 eV/atom
1.0
2.738 -3.842 0.000
2.738 3.842 0.000
0.000 0.000 3.519
Tl As Rh
1 2 1
Direct
0.000 0.000 0.000
0.000 0.500 0.500
0.500 0.000 0.500
0.500 0.500 0.000

Tl2AsRh (SCAN, PBEsol geometry); energy of formation from the pure elements = 9.4 kcal/mol of atoms; symmetry = No. 216; D(E_F) = 1.9 states/eV/f.u.; calculated density = 12.07 g cm⁻³; total energy = -49.261 eV/atom
1.0
0.000 3.430 3.430
3.430 0.000 3.430
3.430 3.430 0.000
Tl As Rh
2 1 1
Direct
0.000 0.000 0.000
0.250 0.250 0.250
0.750 0.750 0.750
0.500 0.500 0.500

Tl2AsRh (SCAN, PBEsol geometry); energy of formation from the pure elements = 10.7 kcal/mol of atoms; symmetry = No. 225; D(E_F) = 2.9 states/eV/f.u.; calculated density = 12.19 g cm⁻³; total energy = -49.204 eV/atom
1.0
0.000 3.419 3.419
3.419 0.000 3.419
3.419 3.419 0.000
Tl As Rh
2 1 1
Direct
0.250 0.250 0.250
0.750 0.750 0.750
0.000 0.000 0.000
0.500 0.500 0.500